[1]
Entry from the Alexandria database: Nd2Er3TmSe6 after structural relaxation (PBE-GGA).

Summary:
**Raw formation energy**: -1737.0 meV/atom

```
12
Lattice="4.066 0.000 0.000 0.000 8.273 0.258 -2.033 -2.425 8.623" Properties=species:S:1:pos:R:3 pbc="T T T"
Se 0.000 1.720 5.949
Se 2.033 -0.370 8.604
Se 2.033 4.128 2.932
Se 0.000 6.059 6.041
Se 2.033 -0.212 2.840
Se 0.000 6.217 0.277
Nd 0.000 1.971 3.011
Nd 2.033 3.877 5.870
Tm 2.033 0.000 0.000
Er 2.033 4.136 0.129
Er 2.033 -0.223 5.704
Er 0.000 6.070 3.177
```



[2]
Entry from the Alexandria database: Pm5Ag2Ir2 after structural relaxation (PBE-GGA).

Summary:
**Final energy**: -5.7147 eV/atom

```
18
Lattice="-3.780 -3.081 -6.213 3.208 -6.876 1.458 -7.668 1.586 3.879" Properties=species:S:1:pos:R:3 pbc="T T T"
Pm -3.487 -3.681 -2.782
Pm -4.754 -4.690 1.907
Pm 0.000 0.000 0.000
Pm -2.486 -7.610 -3.045
Pm -1.075 -3.259 0.561
Pm -7.166 -5.112 -1.437
Pm -8.166 -1.182 -1.174
Pm -5.754 -0.760 2.169
Pm -0.074 -7.188 0.299
Pm -0.286 -4.978 -2.377
Ag -2.553 -0.780 1.940
Ag -1.907 -4.510 3.397
Ag -2.840 -5.758 -0.437
Ag -5.401 -2.612 -0.438
Ir 1.531 -4.756 0.103
Ir 0.394 -7.910 -2.661
Ir -2.104 -5.201 -4.858
Ir -0.967 -2.046 -2.094
```



[3]
Entry from the Alexandria database: SrPrLu after structural relaxation (PBE-GGA).

Summary:
**E above lowest polymorph**: 0.0 meV/atom

```
3
Lattice="-2.525 2.492 1.312 -2.171 -0.599 -3.040 -1.443 -6.824 4.730" Properties=species:S:1:pos:R:3 pbc="T T T"
Pr -3.727 -1.191 0.543
Sr -6.118 -4.897 2.981
Lu -2.434 -3.773 2.482
```



[4]
Entry from the Alexandria database: MoH2Cl after structural relaxation (PBE-GGA).

Summary:
**E above lowest polymorph**: 691.8 meV/atom

```
4
Lattice="1.458 -0.183 3.620 -2.099 1.318 3.020 -1.498 -2.518 2.584" Properties=species:S:1:pos:R:3 pbc="T T T"
Cl 0.000 0.000 0.000
H -1.605 -1.037 6.918
H -0.535 -0.346 2.306
Mo -1.070 -0.692 4.612
```



[5]
Entry from the Alexandria database: MnIrW2 after structural relaxation (PBE-GGA).

Summary:
**E above lowest polymorph**: 24.7 meV/atom

```
4
Lattice="-1.970 -3.374 0.093 2.348 -1.359 0.428 1.338 -0.623 5.760" Properties=species:S:1:pos:R:3 pbc="T T T"
W 3.593 -1.929 6.127
W 1.936 -1.044 3.154
Mn 1.779 -3.173 4.687
Ir -0.064 -2.182 1.594
```



[6]
Entry from the Alexandria database: ZrCr2Tc after structural relaxation (PBE-GGA).

Summary:
**E above lowest polymorph**: 258.9 meV/atom

```
4
Lattice="2.899 0.000 0.000 0.000 4.085 0.000 0.000 0.000 5.322" Properties=species:S:1:pos:R:3 pbc="T T T"
Zr 1.449 2.043 3.991
Cr 0.000 0.000 0.320
Cr 0.000 0.000 2.340
Tc 1.449 2.043 1.330
```



[7]
Entry from the Alexandria database: MnTlTe2 after structural relaxation (PBE-GGA).

Summary:
**Raw formation energy**: -225.7 meV/atom

```
4
Lattice="-0.980 -3.824 -1.020 -0.392 -2.845 2.894 -8.286 -0.409 1.348" Properties=species:S:1:pos:R:3 pbc="T T T"
Tl -4.824 -3.540 1.611
Te -6.819 -0.749 1.212
Te -1.938 -1.880 0.762
Mn -9.193 -4.857 2.596
```



[8]
Entry from the Alexandria database: LiPu5Ir3 after structural relaxation (PBE-GGA).

Summary:
**Final energy**: -11.2014 eV/atom

```
18
Lattice="-4.377 -0.048 4.938 -0.974 -6.524 0.192 5.720 -2.418 7.399" Properties=species:S:1:pos:R:3 pbc="T T T"
Pu 2.965 -5.542 5.167
Pu 3.301 -3.917 7.711
Pu -2.596 -3.448 7.362
Pu -0.783 -3.860 4.704
Pu -0.676 -7.102 4.684
Pu -3.342 -2.018 3.495
Pu 1.152 -5.130 7.825
Pu -2.009 -4.554 1.635
Pu -2.932 -5.073 4.818
Pu 1.045 -1.888 7.845
Li 4.075 -2.008 5.660
Li -3.706 -6.982 6.869
Ir 2.860 -1.209 3.699
Ir 1.712 -3.009 5.332
Ir 0.936 -7.107 10.366
Ir -0.566 -1.883 2.163
Ir -1.343 -5.981 7.197
Ir 0.000 0.000 0.000
```



[9]
Entry from the Alexandria database: Sm2Si2I after structural relaxation (PBE-GGA).

Summary:
**Raw formation energy**: -869.6 meV/atom

```
10
Lattice="3.898 0.000 0.000 0.000 8.061 -0.890 -1.949 -3.082 9.047" Properties=species:S:1:pos:R:3 pbc="T T T"
Si 1.949 2.569 4.798
Si 1.949 -1.461 5.243
Si 0.000 2.410 3.359
Si 0.000 6.440 2.914
Sm 1.949 4.320 2.191
Sm 1.949 0.290 2.635
Sm 0.000 4.689 5.522
Sm 0.000 0.659 5.967
I 1.990 6.046 -0.667
I 1.908 2.015 -0.222
```



[10]
Entry from the Alexandria database: K3SbTe2 after structural relaxation (PBE-GGA).

Summary:
**Raw formation energy**: -610.2 meV/atom

```
12
Lattice="-7.371 2.350 3.188 -3.772 -2.468 -6.901 4.624 -7.075 4.926" Properties=species:S:1:pos:R:3 pbc="T T T"
Sb -1.886 -1.234 -3.451
Sb 0.000 0.000 0.000
K -3.265 -2.147 5.014
K -1.367 -3.813 -0.350
K -4.628 0.558 -0.131
K -6.514 -0.676 -3.582
K -3.253 -5.047 -3.801
K -5.151 -3.381 1.563
Te -2.345 -4.741 2.977
Te -5.579 -0.169 3.110
Te -4.174 -2.453 -1.764
Te -0.939 -7.025 -1.897
```



[11]
Entry from the Alexandria database: GaGeI2 after structural relaxation (PBE-GGA).

Summary:
**E above lowest polymorph**: 94.1 meV/atom
**Raw formation energy**: 142.1 meV/atom

```
8
Lattice="-1.109 -3.198 5.115 5.686 1.185 1.973 -0.644 6.407 7.543" Properties=species:S:1:pos:R:3 pbc="T T T"
I 1.058 4.014 8.255
I -0.177 -0.347 5.487
I 3.696 3.080 11.921
I 3.288 2.041 3.601
Ge 0.000 0.000 0.000
Ge 0.268 1.101 8.101
Ga 2.288 -1.006 3.544
Ga 3.665 3.293 6.530
```



[12]
Entry from the Alexandria database: KYTl2 after structural relaxation (PBE-GGA).

Summary:
**E above lowest polymorph**: 192.1 meV/atom

```
4
Lattice="-0.977 4.620 -5.114 -6.368 1.854 -2.113 4.769 -0.384 5.056" Properties=species:S:1:pos:R:3 pbc="T T T"
Tl -7.166 6.317 -7.051
Tl 0.007 3.784 -1.888
Y -3.879 3.420 -3.817
K -2.555 2.284 -0.257
```